1.
Compound: SmGd2Br
Source: Alexandria via LeMat-Bulk
Functional: GGA-PBE
Structure: optimized geometry

DFT total energy = -9.184 eV per atom
Relative energy among the computed polymorphs = 0.00 eV per formula unit
Crystal system = trigonal

Cell lengths 3.6917, 3.6917, 10.5547 Å; angles 79.93, 79.93, 60.00 degrees
Closest atoms and distances in Å follow each position.
Fractional positions:
Gd1 0.2582 0.2582 0.2255  3 Br 3.16
Gd2 0.7418 0.7418 0.7745  3 Br 3.16
Br1 0.0000 0.0000 0.0000  6 Gd 3.16
Sm1 0.5000 0.5000 0.5000  6 Gd 3.55, 6 Sm 3.69

2.
Compound: BaLiPmSn
Source: Alexandria via LeMat-Bulk
Functional: GGA-PBE
Structure: optimized geometry

DFT total energy = -3.463 eV per atom
Crystal system = cubic
E_form = -316 meV/atom

Cell lengths 5.6693, 5.6693, 5.6693 Å; angles 60.00, 60.00, 60.00 degrees
Closest atoms and distances in Å follow each position.
Fractional positions:
Li1 0.0000 0.0000 0.0000  4 Pm 3.47, 4 Ba 3.47
Sn1 0.5000 0.5000 0.5000  4 Ba 3.47, 4 Pm 3.47
Pm1 0.2500 0.2500 0.2500  4 Sn 3.47, 4 Li 3.47
Ba1 0.7500 0.7500 0.7500  4 Sn 3.47, 4 Li 3.47

3.
Compound: TaSe2I
Source: Alexandria via LeMat-Bulk
Functional: GGA-PBE
Structure: optimized geometry

DFT total energy = -5.179 eV per atom
Relative energy among the computed polymorphs = 1.77 eV per formula unit
Crystal system = tetragonal

Cell lengths 7.2426, 7.2426, 7.2988 Å; angles 60.25, 60.25, 90.00 degrees
Closest atoms and distances in Å follow each position.
Fractional positions:
Ta1 0.7500 0.2500 0.5000  4 Se 2.44
Ta2 0.0000 0.0000 0.0000  4 Se 2.44
Se1 0.3750 0.2610 0.7500  2 Ta 2.44
Se2 0.8750 0.9890 0.7500  2 Ta 2.44
Se3 0.7390 0.1250 0.2500  2 Ta 2.44
Se4 0.0110 0.6250 0.2500  2 Ta 2.44
I1 0.2500 0.7500 0.5000  4 Se 3.45
I2 0.5000 0.5000 0.0000  4 Se 3.45

4.
Compound: BaTa2TiIn
Source: Alexandria via LeMat-Bulk
Functional: GGA-PBE
Structure: optimized geometry

DFT total energy = -5.896 eV per atom
Crystal system = tetragonal
E_form = 1356 meV/atom

Cell lengths 4.9076, 5.7614, 4.9076 Å; angles 90.00, 90.00, 90.00 degrees
Closest atoms and distances in Å follow each position.
Fractional positions:
Ta1 0.5000 0.0000 0.0000  2 Ti 2.45
Ta2 0.0000 0.0000 0.5000  2 Ti 2.45
Ba1 0.0000 0.5000 0.0000  2 Ti 2.88
Ti1 0.0000 0.0000 0.0000  4 Ta 2.45
In1 0.5000 0.5000 0.5000  4 Ba 3.47, 8 Ta 3.78

5.
Compound: CaCe2Co
Source: Alexandria via LeMat-Bulk
Functional: GGA-PBE
Structure: optimized geometry

DFT total energy = -5.234 eV per atom
Relative energy among the computed polymorphs = 0.00 eV per formula unit
Crystal system = trigonal
E_form = 10 meV/atom

Cell lengths 3.8471, 3.8471, 9.6125 Å; angles 78.46, 78.46, 60.00 degrees
Closest atoms and distances in Å follow each position.
Fractional positions:
Ce1 0.2804 0.2804 0.1588  3 Co 2.66
Ce2 0.0531 0.0531 0.8407  3 Co 2.69
Ca1 0.5009 0.5009 0.4973  6 Ca 3.85, 6 Ce 3.87-3.91
Co1 0.6656 0.6656 0.0032  6 Ce 2.66-2.69

6.
Compound: ScRuBr2
Source: Alexandria via LeMat-Bulk
Functional: GGA-PBE
Structure: optimized geometry

DFT total energy = -4.698 eV per atom
Relative energy among the computed polymorphs = 2.43 eV per formula unit
Crystal system = trigonal

Cell lengths 9.8064, 9.8064, 9.8064 Å; angles 19.81, 19.81, 19.81 degrees
Closest atoms and distances in Å follow each position.
Fractional positions:
Br1 0.0191 0.0191 0.0191  3 Sc 2.69
Br2 0.4809 0.4809 0.4809  3 Sc 2.69
Ru1 0.2500 0.2500 0.2500  6 Ru 3.37, 6 Br 3.54
Sc1 0.7500 0.7500 0.7500  6 Br 2.69

7.
Compound: ZrGa3F
Source: Alexandria via LeMat-Bulk
Functional: GGA-PBE
Structure: optimized geometry

DFT total energy = -4.465 eV per atom
Relative energy among the computed polymorphs = 0.00 eV per formula unit
Crystal system = cubic

Cell lengths 4.4237, 4.4237, 4.4237 Å; angles 90.00, 90.00, 90.00 degrees
Closest atoms and distances in Å follow each position.
Fractional positions:
F1 0.0000 0.0000 0.0000  6 Ga 2.21
Ga1 0.0000 0.5000 0.0000  2 F 2.21
Ga2 0.0000 0.0000 0.5000  2 F 2.21
Ga3 0.5000 0.0000 0.0000  2 F 2.21
Zr1 0.5000 0.5000 0.5000  12 Ga 3.13

8.
Compound: Y2Ag4Te5
Source: Alexandria via LeMat-Bulk
Functional: GGA-PBE
Structure: optimized geometry

DFT total energy = -4.179 eV per atom
Crystal system = trigonal

Cell lengths 4.4576, 4.4576, 19.3124 Å; angles 83.37, 83.37, 60.00 degrees
Closest atoms and distances in Å follow each position.
Fractional positions:
Y1 0.1357 0.1357 0.5928  6 Te 3.12-3.13
Y2 0.8643 0.8643 0.4072  6 Te 3.12-3.13
Te1 0.5000 0.5000 0.5000  6 Y 3.13
Te2 0.2282 0.2282 0.3153  3 Ag 2.90, 3 Y 3.12
Te3 0.3678 0.3678 0.8965  5 Ag 2.72-2.98
Te4 0.7718 0.7718 0.6847  3 Ag 2.90, 3 Y 3.12
Te5 0.6322 0.6322 0.1035  5 Ag 2.72-2.98
Ag1 0.3160 0.3160 0.0521  4 Te 2.76-2.98
Ag2 0.4153 0.4153 0.7542  4 Te 2.72-2.90
Ag3 0.6840 0.6840 0.9479  4 Te 2.76-2.98
Ag4 0.5847 0.5847 0.2458  4 Te 2.72-2.90

9.
Compound: Mn2V4C
Source: Alexandria via LeMat-Bulk
Functional: GGA-PBE
Structure: optimized geometry

DFT total energy = -8.928 eV per atom
Crystal system = tetragonal
E_form = 220 meV/atom

Cell lengths 3.8976, 3.8976, 6.5681 Å; angles 72.74, 72.74, 90.00 degrees
Closest atoms and distances in Å follow each position.
Fractional positions:
V1 0.0000 0.5000 0.0000  2 C 1.95
V2 0.1783 0.1783 0.6435  1 C 2.13, 1 Mn 2.20
V3 0.5000 0.0000 0.0000  2 C 1.95
V4 0.8217 0.8217 0.3565  1 C 2.13, 1 Mn 2.20
Mn1 0.6376 0.6376 0.7247  1 V 2.20
Mn2 0.3624 0.3624 0.2753  1 V 2.20
C1 0.0000 0.0000 0.0000  6 V 1.95-2.13

10.
Compound: TlSn2As2
Source: Alexandria via LeMat-Bulk
Functional: GGA-PBE
Structure: optimized geometry

DFT total energy = -3.871 eV per atom
Relative energy among the computed polymorphs = 0.75 eV per formula unit
Crystal system = tetragonal
E_form = 64 meV/atom

Cell lengths 5.2970, 5.2970, 6.2726 Å; angles 65.02, 65.02, 90.00 degrees
Closest atoms and distances in Å follow each position.
Fractional positions:
Sn1 0.2500 0.7500 0.5000  4 As 2.90
Sn2 0.7500 0.2500 0.5000  4 As 2.90
As1 0.6316 0.6316 0.7368  1 As 2.65, 4 Sn 2.90
As2 0.3684 0.3684 0.2632  1 As 2.65, 4 Sn 2.90
Tl1 0.0000 0.0000 0.0000  8 Sn 3.65, 10 As 3.71-3.97

11.
Compound: B7C3
Source: Alexandria via LeMat-Bulk
Functional: GGA-PBE
Structure: optimized geometry

DFT total energy = -6.954 eV per atom
Relative energy among the computed polymorphs = 1.96 eV per formula unit
Crystal system = trigonal
E_form = 488 meV/atom

Cell lengths 12.5538, 12.5538, 12.5538 Å; angles 12.45, 12.45, 12.45 degrees
Closest atoms and distances in Å follow each position.
Fractional positions:
B1 0.2081 0.2081 0.2081  3 C 1.58
B2 0.9460 0.9460 0.9460  4 B 1.76-1.82
B3 0.1576 0.1576 0.1576  4 B 1.78-1.89
B4 0.8020 0.8020 0.8020  1 C 1.59
B5 0.4230 0.4230 0.4230  3 C 1.58
B6 0.9931 0.9931 0.9931  3 C 1.57, 1 B 1.76
B7 0.5881 0.5881 0.5881  1 C 1.60
C1 0.7595 0.7595 0.7595  4 B 1.58-1.59
C2 0.3272 0.3272 0.3272  3 B 1.57
C3 0.5453 0.5453 0.5453  4 B 1.58-1.60

12.
Compound: Y6Ga3Te
Source: Alexandria via LeMat-Bulk
Functional: GGA-PBE
Structure: optimized geometry

DFT total energy = -5.599 eV per atom
Crystal system = orthorhombic

Cell lengths 7.4307, 8.8935, 8.8935 Å; angles 107.14, 90.00, 90.00 degrees
Closest atoms and distances in Å follow each position.
Fractional positions:
Y1 0.2511 0.1009 0.5214  3 Ga 2.96-3.02, 1 Te 3.13
Y2 0.2558 0.9861 0.0139  4 Ga 2.97-3.01, 2 Te 2.99-3.17
Y3 0.1179 0.7413 0.6668  3 Ga 2.96-3.08
Y4 0.6179 0.2587 0.3332  3 Ga 2.96-3.08
Y5 0.7511 0.5214 0.1009  3 Ga 2.96-3.02, 1 Te 3.13
Y6 0.7511 0.8991 0.4786  3 Ga 2.96-3.02, 1 Te 3.13
Y7 0.6682 0.2841 0.7159  1 Te 3.08, 3 Ga 3.11-3.26, 2 Y 3.37
Y8 0.2511 0.4786 0.8991  3 Ga 2.96-3.02, 1 Te 3.13
Y9 0.6179 0.6668 0.7413  3 Ga 2.96-3.08
Y10 0.7558 0.0139 0.9861  4 Ga 2.97-3.01, 2 Te 2.99-3.17
Y11 0.1179 0.3332 0.2587  3 Ga 2.96-3.08
Y12 0.1682 0.7159 0.2841  1 Te 3.08, 3 Ga 3.11-3.26, 2 Y 3.37
Te1 0.5212 0.8288 0.1712  5 Y 2.99-3.17
Te2 0.0212 0.1712 0.8288  5 Y 2.99-3.17
Ga1 0.4767 0.2672 0.0218  6 Y 2.96-3.11, 1 Ga 3.05
Ga2 0.8487 0.5598 0.4402  7 Y 2.96-3.26
Ga3 0.4767 0.9782 0.7328  6 Y 2.96-3.11, 1 Ga 3.05
Ga4 0.3487 0.4402 0.5598  7 Y 2.96-3.26
Ga5 0.9767 0.7328 0.9782  6 Y 2.96-3.11, 1 Ga 3.05
Ga6 0.9767 0.0218 0.2672  6 Y 2.96-3.11, 1 Ga 3.05